Entry 1:
Computed, not measured: a geometry-optimized HgWAu2 structure at the PBE level of DFT.

- energy of formation (eV per formula unit) = 2.1
- total magnetization (μB/cell) = 0.620
- space group = Cmmm, No. 65

The structure in extended XYZ format:
```
4
Lattice="6.639 0.199 0.708 -2.879 4.406 -0.244 0.882 0.717 2.551" Properties=species:S:1:pos:R:3 pbc="T T T"
Hg -0.998 2.562 1.153
Au 3.760 0.458 1.630
Au 0.000 0.000 0.000
W 1.880 2.303 0.232
```

=====

Entry 2:
Computed, not measured: a geometry-optimized Nd8GaTe4S3 structure at the PBE level of DFT.

- total magnetization (μB/cell) = 0.000
- formation energy from raw total energies (eV per atom) = -1.565
- space group = R-3m, No. 166

The structure in extended XYZ format:
```
16
Lattice="8.501 0.000 0.000 0.000 8.796 0.203 -4.251 -4.247 6.014" Properties=species:S:1:pos:R:3 pbc="T T T"
Te -2.125 -2.124 3.007
Te 2.125 -2.124 3.007
Te 0.000 0.000 0.000
Te 4.251 0.000 0.000
Nd 0.000 4.268 3.034
Nd -2.111 2.159 6.021
Nd 6.361 2.391 0.196
Nd 2.111 2.159 6.021
Nd 2.140 2.391 0.196
Nd 4.251 0.282 3.183
Nd 4.251 4.226 2.984
Nd 0.000 0.323 3.233
Ga 0.000 4.398 0.102
S 2.125 2.275 3.109
S -2.125 2.275 3.109
S 4.251 4.398 0.102
```

=====

Entry 3:
Computed, not measured: a geometry-optimized LiPm3Ir8 structure at the PBE level of DFT.

- energy of formation (eV per formula unit) = -6.9
- total magnetization (μB/cell) = 0.001
- space group = R3m, No. 160

The structure in extended XYZ format:
```
12
Lattice="5.144 0.000 1.553 2.338 4.583 1.553 -0.001 -0.001 9.301" Properties=species:S:1:pos:R:3 pbc="T T T"
Ir 5.854 2.019 8.501
Ir 5.845 2.002 3.888
Ir 3.269 2.002 3.111
Ir 7.016 4.297 9.273
Ir 4.439 4.296 3.888
Ir 1.407 0.862 4.636
Ir 5.145 3.151 10.847
Ir 4.458 4.297 8.501
Li 6.522 3.994 6.287
Pm 3.775 2.312 6.089
Pm 2.813 1.723 9.277
Pm 7.437 4.555 3.256
```

=====

Entry 4:
Computed, not measured: a geometry-optimized RbLiIn2Cl8 structure at the PBE level of DFT.

- total magnetization (μB/cell) = 0.000
- formation energy from raw total energies (eV per atom) = -1.304
- space group = I-4m2, No. 119

The structure in extended XYZ format:
```
12
Lattice="-3.093 1.324 -7.647 -3.564 -5.322 5.363 -0.823 7.415 3.759" Properties=species:S:1:pos:R:3 pbc="T T T"
Cl -4.536 3.083 2.967
Cl -5.198 -1.019 -2.266
Cl -1.606 2.704 -1.393
Cl -5.717 2.912 -1.436
Cl -2.192 5.697 1.274
Cl -2.931 5.662 -2.709
Cl -4.233 2.203 -4.523
Cl -3.033 -0.925 0.974
In -3.328 -1.999 -1.142
In -3.622 3.370 -2.515
Rb 0.000 0.000 0.000
Li -3.858 0.047 3.990
```

=====

Entry 5:
Computed, not measured: a geometry-optimized CaMgW2 structure at the PBE level of DFT.

- energy of formation (eV per formula unit) = 2.1
- total magnetization (μB/cell) = 0.000
- space group = Cmm2, No. 35

The structure in extended XYZ format:
```
4
Lattice="-1.078 1.515 -2.252 0.767 -2.686 -0.853 -9.193 -3.314 2.172" Properties=species:S:1:pos:R:3 pbc="T T T"
W -0.177 -0.064 0.042
W -2.175 -1.313 -1.075
Mg -7.323 -3.169 0.141
Ca -4.426 -1.595 1.046
```

=====

Entry 6:
Computed, not measured: a geometry-optimized ScFeMo2 structure at the PBE level of DFT.

- energy of formation (eV per formula unit) = 0.6
- total magnetization (μB/cell) = 1.521
- offset from the most stable computed form (meV/atom) = 75
- space group = Cmm2, No. 35

The structure in extended XYZ format:
```
4
Lattice="2.756 -0.051 0.000 -0.808 2.635 0.000 0.000 0.000 8.761" Properties=species:S:1:pos:R:3 pbc="T T T"
Mo 0.000 0.000 8.636
Mo 0.974 1.292 2.074
Sc 0.000 0.000 4.520
Fe 0.974 1.292 6.673
```

=====

Entry 7:
Computed, not measured: a geometry-optimized HfBiS2N structure at the PBE level of DFT.

- total magnetization (μB/cell) = 0.000
- offset from the most stable computed form (meV/atom) = 0
- formation energy from raw total energies (eV per atom) = -0.339
- space group = P4/mmm, No. 123

The structure in extended XYZ format:
```
5
Lattice="-4.003 -2.736 1.521 1.978 -0.297 4.672 -1.912 3.366 1.023" Properties=species:S:1:pos:R:3 pbc="T T T"
Bi -1.969 0.166 3.608
S 0.989 -0.148 2.336
S -2.002 -1.368 0.760
N -0.956 1.683 0.512
Hf 0.000 0.000 0.000
```

=====

Entry 8:
Computed, not measured: a geometry-optimized PmY2Se structure at the PBE level of DFT.

- total magnetization (μB/cell) = 0.648
- offset from the most stable computed form (meV/atom) = 238
- formation energy from raw total energies (eV per atom) = -0.591
- space group = R-3m, No. 166

The structure in extended XYZ format:
```
4
Lattice="-2.282 0.732 2.875 0.533 -1.699 3.292 5.667 7.425 5.043" Properties=species:S:1:pos:R:3 pbc="T T T"
Y 0.299 1.572 7.146
Y 3.619 4.886 4.064
Se 1.959 3.229 5.605
Pm 0.000 0.000 0.000
```

=====

Question: Among the records above, which one has the highest total magnetization?
Answer: ScFeMo2